A geometry-optimized BaTl2GeS4 structure, computed with GGA-PBE.

Cell and atoms, written as CIF:
```
data_BaTl2GeS4
_symmetry_space_group_name_H-M 'P 1'
_symmetry_Int_Tables_number 1
_symmetry_space_group_name_Hall 'P 1'
_cell_length_a 6.335
_cell_length_b 9.610
_cell_length_c 8.478
_cell_angle_alpha 90.00
_cell_angle_beta 90.00
_cell_angle_gamma 90.00
loop_
_atom_site_label
_atom_site_fract_x
_atom_site_fract_y
_atom_site_fract_z
Ba1 0.951 0.086 0.500
Ba2 0.451 0.914 0.000
Tl1 0.437 0.361 0.299
Tl2 0.437 0.361 0.701
Tl3 0.937 0.639 0.799
Tl4 0.937 0.639 0.201
Ge1 0.521 0.791 0.500
Ge2 0.021 0.209 0.000
S1 0.376 0.231 0.000
S2 0.876 0.769 0.500
S3 0.450 0.020 0.500
S4 0.950 0.980 0.000
S5 0.414 0.691 0.725
S6 0.914 0.309 0.225
S7 0.914 0.309 0.775
S8 0.414 0.691 0.275
```

Properties
Crystal system: orthorhombic
Raw formation energy, meV per atom: -823

=====

A geometry-optimized La4GePBr2 structure, computed with GGA-PBE.

Cell and atoms, written as CIF:
```
data_La4GePBr2
_symmetry_space_group_name_H-M 'P 1'
_symmetry_Int_Tables_number 1
_symmetry_space_group_name_Hall 'P 1'
_cell_length_a 4.324
_cell_length_b 7.492
_cell_length_c 7.816
_cell_angle_alpha 108.64
_cell_angle_beta 90.00
_cell_angle_gamma 90.00
loop_
_atom_site_label
_atom_site_fract_x
_atom_site_fract_y
_atom_site_fract_z
La1 0.500 0.246 0.215
La2 0.500 0.754 0.785
La3 0.000 0.270 0.790
La4 0.000 0.730 0.210
Ge1 0.000 0.000 0.000
P1 0.500 0.500 0.000
Br1 0.500 0.000 0.500
Br2 0.000 0.500 0.500
```

Properties
Crystal system: monoclinic
Raw formation energy, meV per atom: -1417

=====

A geometry-optimized Sc2BH structure, computed with GGA-PBE.

Cell and atoms, written as CIF:
```
data_Sc2BH
_symmetry_space_group_name_H-M 'P 1'
_symmetry_Int_Tables_number 1
_symmetry_space_group_name_Hall 'P 1'
_cell_length_a 6.604
_cell_length_b 6.604
_cell_length_c 6.604
_cell_angle_alpha 32.44
_cell_angle_beta 32.44
_cell_angle_gamma 32.44
loop_
_atom_site_label
_atom_site_fract_x
_atom_site_fract_y
_atom_site_fract_z
Sc1 0.894 0.894 0.894
Sc2 0.106 0.106 0.106
H1 0.000 0.000 0.000
B1 0.500 0.500 0.500
```

Properties
ΔE to the lowest computed polymorph, eV per atom: 0.013
Crystal system: trigonal

=====

A geometry-optimized Rb2SiPtBr6 structure, computed with GGA-PBE.

Cell and atoms, written as CIF:
```
data_Rb2SiPtBr6
_symmetry_space_group_name_H-M 'P 1'
_symmetry_Int_Tables_number 1
_symmetry_space_group_name_Hall 'P 1'
_cell_length_a 7.527
_cell_length_b 7.527
_cell_length_c 7.517
_cell_angle_alpha 59.96
_cell_angle_beta 59.96
_cell_angle_gamma 90.00
loop_
_atom_site_label
_atom_site_fract_x
_atom_site_fract_y
_atom_site_fract_z
Si1 0.500 0.500 0.000
Br1 0.249 0.249 0.502
Br2 0.751 0.751 0.498
Br3 0.252 0.252 0.000
Br4 0.748 0.748 0.000
Br5 0.748 0.252 0.000
Br6 0.252 0.748 0.000
Rb1 0.750 0.250 0.500
Rb2 0.250 0.750 0.500
Pt1 0.000 0.000 0.000
```

Properties
Crystal system: tetragonal
Raw formation energy, meV per atom: -822

=====

A geometry-optimized Pm2NdUP4 structure, computed with GGA-PBE.

Cell and atoms, written as CIF:
```
data_Pm2NdUP4
_symmetry_space_group_name_H-M 'P 1'
_symmetry_Int_Tables_number 1
_symmetry_space_group_name_Hall 'P 1'
_cell_length_a 4.072
_cell_length_b 7.080
_cell_length_c 7.075
_cell_angle_alpha 109.19
_cell_angle_beta 90.00
_cell_angle_gamma 90.00
loop_
_atom_site_label
_atom_site_fract_x
_atom_site_fract_y
_atom_site_fract_z
Pm1 0.500 0.000 0.500
Pm2 0.000 0.500 0.500
Nd1 0.000 0.000 0.000
U1 0.500 0.500 0.000
P1 0.500 0.260 0.243
P2 0.500 0.740 0.757
P3 0.000 0.262 0.761
P4 0.000 0.738 0.239
```

Properties
Crystal system: monoclinic
Energy relative to the elements, meV per atom: -1402

=====

A geometry-optimized CeGaHgPd structure, computed with GGA-PBE.

Cell and atoms, written as CIF:
```
data_CeGaHgPd
_symmetry_space_group_name_H-M 'P 1'
_symmetry_Int_Tables_number 1
_symmetry_space_group_name_Hall 'P 1'
_cell_length_a 4.908
_cell_length_b 4.908
_cell_length_c 4.908
_cell_angle_alpha 60.00
_cell_angle_beta 60.00
_cell_angle_gamma 60.00
loop_
_atom_site_label
_atom_site_fract_x
_atom_site_fract_y
_atom_site_fract_z
Ga1 0.250 0.250 0.250
Pd1 0.750 0.750 0.750
Hg1 0.500 0.500 0.500
Ce1 0.000 0.000 0.000
```

Properties
Crystal system: cubic
Energy relative to the elements, meV per atom: -449

=====

A geometry-optimized PmHo2Ru9 structure, computed with GGA-PBE.

Cell and atoms, written as CIF:
```
data_PmHo2Ru9
_symmetry_space_group_name_H-M 'P 1'
_symmetry_Int_Tables_number 1
_symmetry_space_group_name_Hall 'P 1'
_cell_length_a 5.291
_cell_length_b 5.291
_cell_length_c 9.203
_cell_angle_alpha 73.29
_cell_angle_beta 73.29
_cell_angle_gamma 60.00
loop_
_atom_site_label
_atom_site_fract_x
_atom_site_fract_y
_atom_site_fract_z
Pm1 0.000 0.000 0.000
Ho1 0.860 0.860 0.419
Ho2 0.140 0.140 0.581
Ru1 0.662 0.662 0.015
Ru2 0.338 0.338 0.985
Ru3 0.500 0.500 0.500
Ru4 0.411 0.411 0.250
Ru5 0.928 0.411 0.250
Ru6 0.411 0.928 0.250
Ru7 0.589 0.589 0.750
Ru8 0.589 0.072 0.750
Ru9 0.072 0.589 0.750
```

Properties
Crystal system: trigonal
Energy relative to the elements, meV per atom: -126

=====

A geometry-optimized Na2YBI structure, computed with GGA-PBE.

Cell and atoms, written as CIF:
```
data_Na2YBI
_symmetry_space_group_name_H-M 'P 1'
_symmetry_Int_Tables_number 1
_symmetry_space_group_name_Hall 'P 1'
_cell_length_a 6.715
_cell_length_b 4.527
_cell_length_c 6.715
_cell_angle_alpha 90.00
_cell_angle_beta 90.00
_cell_angle_gamma 90.00
loop_
_atom_site_label
_atom_site_fract_x
_atom_site_fract_y
_atom_site_fract_z
I1 0.500 0.500 0.500
Y1 0.000 0.000 0.000
B1 0.000 0.500 0.000
Na1 0.000 0.000 0.500
Na2 0.500 0.000 0.000
```

Properties
Crystal system: tetragonal
Raw formation energy, meV per atom: 781

=====

Short version: VASP energy = -4.2957, -5.5521, -5.8250, -3.1655, -7.3014, -4.0625, -8.2414, -2.6851 eV/atom, in the order given.
Short version: magnetization = 0.000, 0.000, 0.000, 0.000, 2.084, 0.536, 0.006, 1.104 μB per cell, in the order given.
Short version: ρ = 4.8, 5.7, 2.3, 4.8, 6.9, 10.3, 10.9, 2.2 g/cm3, in the order given.